1.
! Tb3GaTe, relaxed, DFT PBE-GGA; values from VASP
&SYSTEM
  ibrav = 0, nat = 20, ntyp = 3
/
ATOMIC_SPECIES
Tb 158.93 Tb.upf
Te 127.60 Te.upf
Ga 69.72 Ga.upf
ATOMIC_POSITIONS angstrom
Tb 2.445 -6.327 -0.912
Tb -1.421 -3.114 1.682
Tb 4.460 -3.271 -0.513
Tb 1.804 -2.533 -2.908
Tb 2.229 -7.948 -3.705
Tb 1.477 -3.981 -5.784
Tb -1.637 -4.735 -1.111
Tb -0.669 -7.081 3.761
Tb -3.652 -7.790 -1.510
Tb -0.997 -8.529 0.885
Tb 5.571 -6.747 -2.705
Tb -4.763 -4.315 0.682
Te -0.336 -7.422 -1.953
Te -1.024 -3.495 -3.907
Te 1.832 -7.566 1.883
Te 1.144 -3.640 -0.070
Ga 3.300 -5.094 -3.592
Ga -5.892 -5.962 -2.074
Ga -2.492 -5.968 1.569
Ga 6.700 -5.099 0.051
CELL_PARAMETERS angstrom
-0.584 -3.297 -6.092
9.900 -2.944 0.645
-8.509 -4.820 3.424
! Theoretical density: 7.8 g/cm3
! Uncorrected formation energy: -3.61 eV per formula unit

=====

2.
! Tb10Ga3Te3, relaxed, DFT PBE-GGA; values from VASP
&SYSTEM
  ibrav = 0, nat = 16, ntyp = 3
/
ATOMIC_SPECIES
Tb 158.93 Tb.upf
Ga 69.72 Ga.upf
Te 127.60 Te.upf
ATOMIC_POSITIONS angstrom
Tb -3.461 4.085 -0.399
Tb -6.139 2.217 1.540
Tb -5.751 -3.858 -2.728
Tb -1.625 7.006 -1.919
Tb -2.558 1.166 -2.607
Tb -1.642 -1.380 0.117
Tb -0.324 2.090 0.376
Tb -5.863 -0.234 -3.759
Tb -5.272 -0.682 -0.754
Tb -4.053 4.534 -3.404
Ga -3.255 -1.761 -2.907
Ga -5.547 2.245 -1.857
Ga -1.132 3.829 -2.490
Te -4.115 -3.457 0.294
Te -3.178 1.148 0.797
Te -0.813 5.237 0.942
CELL_PARAMETERS angstrom
-1.219 0.924 -6.191
-6.769 -5.688 0.484
-1.337 8.615 1.549
! Theoretical density: 8.4 g/cm3
! Uncorrected formation energy: -12.14 eV per formula unit

=====

3.
! Tb5GaTe2, relaxed, DFT PBE-GGA; values from VASP
&SYSTEM
  ibrav = 0, nat = 16, ntyp = 3
/
ATOMIC_SPECIES
Te 127.60 Te.upf
Tb 158.93 Tb.upf
Ga 69.72 Ga.upf
ATOMIC_POSITIONS angstrom
Te 0.000 2.337 12.477
Te 3.006 3.898 1.041
Te 3.006 3.898 5.718
Te 0.000 2.337 7.799
Tb 3.006 1.490 12.519
Tb 3.006 1.490 7.757
Tb 0.000 4.746 5.760
Tb 0.000 0.719 1.556
Tb 3.006 1.908 3.379
Tb 0.000 4.327 10.138
Tb 3.006 5.516 8.314
Tb 0.000 4.746 0.998
Tb 3.006 5.516 11.961
Tb 0.000 0.719 5.203
Ga 0.000 2.977 3.379
Ga 3.006 3.258 10.138
CELL_PARAMETERS angstrom
6.012 0.000 0.000
-3.006 6.235 0.000
0.000 0.000 13.517
! Theoretical density: 7.3 g/cm3
! Uncorrected formation energy: -4.50 eV per formula unit

=====

Computed values of total moment (unit: μB per cell) for the preceding records, in sequence: 0.000; 0.000; 0.001.